Record 1
A plane-wave DFT calculation with meta-GGA SCAN was carried out for a PBEsol-optimized structure of AgIr2Br.

- formation energy from raw total energies (kJ/mol of atoms) = 124.9
- final energy (eV per atom) = -46.962
- ΔE to the lowest computed polymorph (eV per atom) = 0.085

abc: 5.2572 5.7452 5.7452
angles: 77.92 62.77 62.77
Last column: nearest neighbours and their distance in Å.
Sites, in units of the cell vectors:
Ag  0.7500  0.5000  0.5000  2 Br 2.63, 4 Ir 2.83
Ag  0.0000  0.0000  0.0000  2 Br 2.63, 4 Ir 2.83
Ir  0.8750  0.5369  0.9631  2 Br 2.46, 2 Ir 2.68
Ir  0.1619  0.9631  0.4631  2 Br 2.46, 2 Ir 2.68
Ir  0.5881  0.0369  0.5369  2 Br 2.46, 2 Ir 2.68
Ir  0.3750  0.4631  0.0369  2 Br 2.46, 2 Ir 2.68
Br  0.5000  0.0000  0.0000  4 Ir 2.46, 2 Ag 2.63
Br  0.2500  0.5000  0.5000  4 Ir 2.46, 2 Ag 2.63



Record 2
A plane-wave DFT calculation with meta-GGA SCAN was carried out for a PBEsol-optimized structure of AgIrBr3.

- formation energy from raw total energies (kJ/mol of atoms) = 101.9
- final energy (eV per atom) = -31.113

abc: 5.0872 5.0872 5.0872
angles: 90.00 90.00 90.00
Last column: nearest neighbours and their distance in Å.
Sites, in units of the cell vectors:
Ag  0.0000  0.0000  0.0000  6 Br 2.54
Ir  0.5000  0.5000  0.5000  12 Br 3.60
Br  0.0000  0.0000  0.5000  2 Ag 2.54
Br  0.5000  0.0000  0.0000  2 Ag 2.54
Br  0.0000  0.5000  0.0000  2 Ag 2.54



Record 3
A plane-wave DFT calculation with meta-GGA SCAN was carried out for a PBEsol-optimized structure of AgIr2Br.

- formation energy from raw total energies (kJ/mol of atoms) = 116.7
- final energy (eV per atom) = -47.046
- ΔE to the lowest computed polymorph (eV per atom) = 0.000

abc: 2.9220 3.6837 5.8209
angles: 90.00 90.00 90.00
Last column: nearest neighbours and their distance in Å.
Sites, in units of the cell vectors:
Ag  0.5000  0.5000  0.0000  8 Ir 2.76, 2 Br 2.91, 2 Ag 2.92
Ir  0.0000  0.0000  0.2493  4 Ag 2.76, 4 Br 2.77, 4 Ir 2.90-2.92
Ir  0.0000  0.0000  0.7507  4 Ag 2.76, 4 Br 2.77, 4 Ir 2.90-2.92
Br  0.5000  0.5000  0.5000  8 Ir 2.77, 2 Ag 2.91, 2 Br 2.92



Record 4
A plane-wave DFT calculation with meta-GGA SCAN was carried out for a PBEsol-optimized structure of KAgBr.

- formation energy from raw total energies (kJ/mol of atoms) = -46.9
- final energy (eV per atom) = -20.204

abc: 3.6769 3.6769 6.6799
angles: 105.84 105.84 90.46
Last column: nearest neighbours and their distance in Å.
Sites, in units of the cell vectors:
Br  0.6565  0.6565  0.3131  4 Ag 3.06-3.08, 4 K 3.27-3.29
Ag  0.0246  0.0246  0.0491  4 Br 3.06-3.08
K  0.3189  0.3189  0.6378  4 Br 3.27-3.29, 5 Ag 3.62-3.64